Material: TeHRuS2
Method: DFT, PBE
State: optimized geometry

N(E_F)   0.747 states/eV per atom
VASP energy   -19.28 eV per cell

The structure in CIF format:
```
data_TeHRuS2
_space_group_name_H-M_alt 'P 4/m m m'
_space_group_IT_number 123
_space_group_name_Hall '-P 4 2'
_cell_length_a 4.538
_cell_length_b 4.538
_cell_length_c 3.602
_cell_angle_alpha 90.00
_cell_angle_beta 90.00
_cell_angle_gamma 90.00
loop_
_atom_site_label
_atom_site_type_symbol
_atom_site_fract_x
_atom_site_fract_y
_atom_site_fract_z
_atom_site_occupancy
Te1 Te 0.000 0.000 0.000 1
H1 H 0.000 0.000 0.500 1
Ru1 Ru 0.500 0.500 0.000 1
S1 S 0.000 0.500 0.500 1
```


Material: TlH2RuS
Method: DFT, PBE
State: optimized geometry

N(E_F)   0.744 states/eV per atom
VASP energy   -19.30 eV per cell

The structure in CIF format:
```
data_TlH2RuS
_space_group_name_H-M_alt 'P 4/m m m'
_space_group_IT_number 123
_space_group_name_Hall '-P 4 2'
_cell_length_a 3.546
_cell_length_b 3.546
_cell_length_c 5.888
_cell_angle_alpha 90.00
_cell_angle_beta 90.00
_cell_angle_gamma 90.00
loop_
_atom_site_label
_atom_site_type_symbol
_atom_site_fract_x
_atom_site_fract_y
_atom_site_fract_z
_atom_site_occupancy
Tl1 Tl 0.000 0.000 0.000 1
H1 H 0.000 0.500 0.000 1
Ru1 Ru 0.000 0.000 0.500 1
S1 S 0.500 0.500 0.500 1
```


Material: SbHRu3
Method: DFT, PBE
State: optimized geometry

N(E_F)   1.457 states/eV per atom
Energy relative to the lowest polymorph listed for this composition   0.000 eV/atom
VASP energy   -34.64 eV per cell

The structure in CIF format:
```
data_SbHRu3
_space_group_name_H-M_alt 'P m -3 m'
_space_group_IT_number 221
_space_group_name_Hall '-P 4 2 3'
_cell_length_a 3.999
_cell_length_b 3.999
_cell_length_c 3.999
_cell_angle_alpha 90.00
_cell_angle_beta 90.00
_cell_angle_gamma 90.00
loop_
_atom_site_label
_atom_site_type_symbol
_atom_site_fract_x
_atom_site_fract_y
_atom_site_fract_z
_atom_site_occupancy
Sb1 Sb 0.000 0.000 0.000 1
H1 H 0.500 0.500 0.500 1
Ru1 Ru 0.000 0.500 0.500 1
```


Material: SbHRu2
Method: DFT, PBE
State: optimized geometry

N(E_F)   1.245 states/eV per atom
Energy relative to the lowest polymorph listed for this composition   0.293 eV/atom
VASP energy   -95.25 eV per cell

The structure in CIF format:
```
data_SbHRu2
_space_group_name_H-M_alt 'F m -3 m'
_space_group_IT_number 225
_space_group_name_Hall '-F 4 2 3'
_cell_length_a 6.061
_cell_length_b 6.061
_cell_length_c 6.061
_cell_angle_alpha 90.00
_cell_angle_beta 90.00
_cell_angle_gamma 90.00
loop_
_atom_site_label
_atom_site_type_symbol
_atom_site_fract_x
_atom_site_fract_y
_atom_site_fract_z
_atom_site_occupancy
Sb1 Sb 0.000 0.000 0.000 1
H1 H 0.000 0.000 0.500 1
Ru1 Ru 0.250 0.250 0.250 1
```


Material: SbH2Ru
Method: DFT, PBE
State: optimized geometry

N(E_F)   0.794 states/eV per atom
Energy relative to the lowest polymorph listed for this composition   0.858 eV/atom
VASP energy   -65.33 eV per cell

The structure in CIF format:
```
data_SbH2Ru
_space_group_name_H-M_alt 'F m -3 m'
_space_group_IT_number 225
_space_group_name_Hall '-F 4 2 3'
_cell_length_a 5.617
_cell_length_b 5.617
_cell_length_c 5.617
_cell_angle_alpha 90.00
_cell_angle_beta 90.00
_cell_angle_gamma 90.00
loop_
_atom_site_label
_atom_site_type_symbol
_atom_site_fract_x
_atom_site_fract_y
_atom_site_fract_z
_atom_site_occupancy
Sb1 Sb 0.000 0.000 0.000 1
H1 H 0.250 0.250 0.250 1
Ru1 Ru 0.000 0.000 0.500 1
```


Material: SbH2Ru
Method: DFT, PBE
State: optimized geometry

N(E_F)   0.271 states/eV per atom
Energy relative to the lowest polymorph listed for this composition   0.000 eV/atom
VASP energy   -39.53 eV per cell

The structure in CIF format:
```
data_SbH2Ru
_space_group_name_H-M_alt 'I 4 m m'
_space_group_IT_number 107
_space_group_name_Hall 'I 4 -2'
_cell_length_a 3.076
_cell_length_b 3.076
_cell_length_c 11.394
_cell_angle_alpha 90.00
_cell_angle_beta 90.00
_cell_angle_gamma 90.00
loop_
_atom_site_label
_atom_site_type_symbol
_atom_site_fract_x
_atom_site_fract_y
_atom_site_fract_z
_atom_site_occupancy
Sb1 Sb 0.000 0.000 0.000 1
H1 H 0.000 0.500 0.230 1
Ru1 Ru 0.000 0.000 0.649 1
```